Record 1
The following is a PBE-GGA calculation of a relaxed Ba2VMo crystal, from Alexandria via LeMat-Bulk.

It has space group Fm-3m (No. 225), with a = 8.079 Å, b = 8.079 Å, c = 8.079 Å, α = 90.00°, β = 90.00° and γ = 90.00°. The inequivalent atoms are Ba at (0.250, 0.250, 0.250), V at (0.000, 0.000, 0.000) and Mo at (0.000, 0.000, 0.500).

The formation energy is 1.396 eV per atom. Its size of the total moment is 1.71 μB per atom.


Record 2
The following is a PBE-GGA calculation of a relaxed Ba2Sr2Cl7 crystal, from Alexandria via LeMat-Bulk.

It has space group Fd-3m (No. 227, origin choice 2), with a = 14.428 Å, b = 14.428 Å, c = 14.428 Å, α = 90.00°, β = 90.00° and γ = 90.00°. The inequivalent atoms are Ba at (0.000, 0.000, 0.000), Sr at (0.000, 0.000, 0.500), Cl at (0.113, 0.375, 0.875) and Cl at (0.125, 0.125, 0.125).

As for the formation energy (no corrections): -25.92 eV per formula unit. Its size of the total moment is 0.07 μB per atom.


Record 3
The following is a PBE-GGA calculation of a relaxed LiErBi2 crystal, from Alexandria via LeMat-Bulk.

It has space group P4/mmm (No. 123), with a = 5.039 Å, b = 5.039 Å, c = 4.196 Å, α = 90.00°, β = 90.00° and γ = 90.00°. The inequivalent atoms are Li at (0.000, 0.000, 0.000), Er at (0.500, 0.500, 0.000) and Bi at (0.000, 0.500, 0.500).

The formation energy is -0.493 eV per atom. Its size of the total moment is 0.00 μB per atom.


Record 4
The following is a PBE-GGA calculation of a relaxed AcDyTm crystal, from Alexandria via LeMat-Bulk.

It has space group I4mm (No. 107), with a = 3.714 Å, b = 3.714 Å, c = 15.280 Å, α = 90.00°, β = 90.00° and γ = 90.00°. The inequivalent atoms are Ac at (0.000, 0.000, 0.000), Dy at (0.000, 0.000, 0.674) and Tm at (0.000, 0.000, 0.327).

The formation energy is 0.070 eV per atom. Its size of the total moment is 0.00 μB per atom.


Record 5
The following is a PBE-GGA calculation of a relaxed K2ScPt crystal, from Alexandria via LeMat-Bulk.

It has space group P4/mmm (No. 123), with a = 4.199 Å, b = 4.199 Å, c = 6.038 Å, α = 90.00°, β = 90.00° and γ = 90.00°. The inequivalent atoms are K at (0.000, 0.500, 0.000), Sc at (0.000, 0.000, 0.500) and Pt at (0.500, 0.500, 0.500).

The formation energy is 0.198 eV per atom. Its size of the total moment is 0.00 μB per atom.


Record 6
The following is a PBE-GGA calculation of a relaxed AlSiSb2Te crystal, from Alexandria via LeMat-Bulk.

It has space group P4/mmm (No. 123), with a = 5.230 Å, b = 5.230 Å, c = 5.313 Å, α = 90.00°, β = 90.00° and γ = 90.00°. The inequivalent atoms are Al at (0.000, 0.000, 0.000), Si at (0.500, 0.500, 0.500), Sb at (0.000, 0.500, 0.000) and Te at (0.000, 0.000, 0.500).

As for the formation energy (no corrections): 3.79 eV per formula unit. Its size of the total moment is 0.00 μB per atom.


Record 7
The following is a PBE-GGA calculation of a relaxed SrSbI3 crystal, from Alexandria via LeMat-Bulk.

It has space group Pm-3m (No. 221), with a = 6.137 Å, b = 6.137 Å, c = 6.137 Å, α = 90.00°, β = 90.00° and γ = 90.00°. The inequivalent atoms are Sr at (0.000, 0.000, 0.000), Sb at (0.500, 0.500, 0.500) and I at (0.000, 0.500, 0.500).

As for the formation energy (no corrections): -2.13 eV per formula unit. Its size of the total moment is 0.00 μB per atom.


Record 8
The following is a PBE-GGA calculation of a relaxed RbNa2MnBr6 crystal, from Alexandria via LeMat-Bulk.

It has space group P1 (No. 1), with a = 7.177 Å, b = 7.369 Å, c = 7.575 Å, α = 74.11°, β = 67.17° and γ = 75.55°. The inequivalent atoms are Rb at (0.000, 0.000, 0.000), Na at (0.285, 0.122, 0.351), Na at (0.639, 0.662, 0.904), Mn at (0.189, 0.579, 0.603), Br at (0.040, 0.515, 0.968), Br at (0.418, 0.769, 0.615), Br at (0.470, 0.442, 0.336), Br at (0.503, 0.032, 0.986), Br at (0.962, 0.878, 0.497) and Br at (0.963, 0.379, 0.604).

As for the formation energy (no corrections): -12.07 eV per formula unit. Its size of the total moment is 0.39 μB per atom.


Record 9
The following is a PBE-GGA calculation of a relaxed SiRhBr4 crystal, from Alexandria via LeMat-Bulk.

It has space group F-43m (No. 216), with a = 8.602 Å, b = 8.602 Å, c = 8.602 Å, α = 90.00°, β = 90.00° and γ = 90.00°. The inequivalent atoms are Si at (0.000, 0.000, 0.000), Rh at (0.250, 0.250, 0.250) and Br at (0.124, 0.124, 0.624).

As for the formation energy (no corrections): 7.80 eV per formula unit. Its size of the total moment is 0.15 μB per atom.


Record 10
The following is a PBE-GGA calculation of a relaxed Ba2C crystal, from Alexandria via LeMat-Bulk.

It has space group P4_2/mnm (No. 136), with a = 7.089 Å, b = 7.089 Å, c = 4.312 Å, α = 90.00°, β = 90.00° and γ = 90.00°. The inequivalent atoms are Ba at (0.192, 0.192, 0.000) and C at (0.000, 0.000, 0.500).

The formation energy is 0.707 eV per atom. Its size of the total moment is 0.14 μB per atom.


Record 11
The following is a PBE-GGA calculation of a relaxed Zr3Co6As5 crystal, from Alexandria via LeMat-Bulk.

It has space group Pmmn (No. 59, origin choice 2), with a = 3.774 Å, b = 11.718 Å, c = 9.199 Å, α = 90.00°, β = 90.00° and γ = 90.00°. The inequivalent atoms are Zr at (0.250, 0.091, 0.243), Zr at (0.250, 0.750, 0.258), Co at (0.250, 0.060, 0.598), Co at (0.250, 0.250, 0.481), Co at (0.250, 0.250, 0.985), Co at (0.250, 0.582, 0.005), As at (0.250, 0.080, 0.846), As at (0.250, 0.629, 0.530) and As at (0.250, 0.750, 0.861).

The formation energy is -0.648 eV per atom. Its size of the total moment is 0.10 μB per atom.


Record 12
The following is a PBE-GGA calculation of a relaxed LiTl2Cl crystal, from Alexandria via LeMat-Bulk.

It has space group Cmmm (No. 65), with a = 4.270 Å, b = 5.808 Å, c = 8.455 Å, α = 90.00°, β = 90.00° and γ = 90.00°. The inequivalent atoms are Li at (0.000, 0.000, 0.000), Tl at (0.000, 0.500, 0.240) and Cl at (0.000, 0.000, 0.500).

As for the formation energy (no corrections): -1.19 eV per formula unit. Its size of the total moment is 0.00 μB per atom.